The following is a DFT calculation (meta-GGA SCAN) of Ba2BeTe at its PBEsol-relaxed geometry.

Computed properties:
crystal system = trigonal

a = 4.7171 Å, b = 4.7171 Å, c = 25.1327 Å
α = 90.00°, β = 90.00°, γ = 120.00°
Space group R-3m (No. 166, hexagonal axes)
Asymmetric unit:
Ba (0.0000, 0.0000, 0.2504) (multiplicity 6)
Be (0.0000, 0.0000, 0.5000) (multiplicity 3)
Te (0.0000, 0.0000, 0.0000) (multiplicity 3)

The following is a DFT calculation (meta-GGA SCAN) of Ba2BeTe at its PBEsol-relaxed geometry.

Computed properties:
crystal system = monoclinic

a = 12.285 Å, b = 4.357 Å, c = 5.265 Å
α = 90.00°, β = 99.75°, γ = 90.00°
Space group Cm (No. 8)
Asymmetric unit:
Ba (0.000, 0.000, 0.000) (multiplicity 2)
Ba (0.229, 0.500, 0.580) (multiplicity 2)
Be (0.274, 0.000, 0.110) (multiplicity 2)
Te (0.439, 0.000, 0.463) (multiplicity 2)

The following is a DFT calculation (meta-GGA SCAN) of BaBeTe2W at its PBEsol-relaxed geometry.

Computed properties:
crystal system = tetragonal

a = 6.207 Å, b = 6.207 Å, c = 5.229 Å
α = 90.00°, β = 90.00°, γ = 90.00°
Space group P4/mmm (No. 123)
Asymmetric unit:
Ba (0.000, 0.000, 0.000) (multiplicity 1)
Be (0.000, 0.000, 0.500) (multiplicity 1)
Te (0.000, 0.500, 0.000) (multiplicity 2)
W (0.500, 0.500, 0.500) (multiplicity 1)

Listing formation energy without anion corrections for the structures above in their given order: -0.52 -0.54 2.06 eV per atom.
Listing total DFT energy (no corrections) for the structures above in their given order: -368.37 -245.70 -177.78 eV for the cell shown.